<a>
A plane-wave DFT calculation with PBE-GGA was carried out for crystalline CrRuAu at its relaxed geometry.

Calculated values
symmetry: F-43m, No. 216
density of states at the Fermi level: 4.1 states/eV per cell

Lattice parameters (Å, degrees): 4.1595 4.1595 4.1595 60.00 60.00 60.00
Element x y z (fractional)
1 Cr 0.0000 0.0000 0.0000
2 Ru 0.2500 0.2500 0.2500
3 Au 0.7500 0.7500 0.7500

=====

<b>
A plane-wave DFT calculation with PBE-GGA was carried out for crystalline CrRuAu at its relaxed geometry.

Calculated values
symmetry: Imm2, No. 44
density of states at the Fermi level: 2.4 states/eV per cell

Lattice parameters (Å, degrees): 4.9953 4.9953 4.9953 146.74 138.41 54.26
Element x y z (fractional)
1 Cr 0.0000 0.0000 0.0000
2 Ru 0.6254 0.6254 0.0000
3 Au 0.3168 0.3168 0.0000

=====

Which one sits at the bottom of the stability order? <a> does.

=====

<a>
A plane-wave DFT calculation with PBE-GGA was carried out for crystalline CrRuAu at its relaxed geometry.

Calculated values
symmetry: P3m1, No. 156
density of states at the Fermi level: 3.7 states/eV per cell

Lattice parameters (Å, degrees): 2.7464 2.7464 6.7630 90.00 90.00 120.00
Element x y z (fractional)
1 Cr 0.0000 0.0000 0.0000
2 Ru 0.6667 0.3333 0.2830
3 Au 0.3333 0.6667 0.6545

=====

<b>
A plane-wave DFT calculation with PBE-GGA was carried out for crystalline CrRuAu at its relaxed geometry.

Calculated values
symmetry: C2/m, No. 12
density of states at the Fermi level: 5.1 states/eV per cell

Lattice parameters (Å, degrees): 4.8117 4.8117 5.5812 107.97 107.97 46.95
Element x y z (fractional)
1 Cr 0.0166 0.0166 0.3113
2 Cr 0.9834 0.9834 0.6887
3 Ru 0.3387 0.3387 0.4380
4 Ru 0.6613 0.6613 0.5620
5 Au 0.3369 0.3369 0.9228
6 Au 0.6631 0.6631 0.0772

=====

Which one sits at the bottom of the stability order? <a> does.

=====

<a>
A plane-wave DFT calculation with PBE-GGA was carried out for crystalline Cr3RuAu at its relaxed geometry.

Calculated values
symmetry: Pm-3m, No. 221
density of states at the Fermi level: 8.2 states/eV per cell

Lattice parameters (Å, degrees): 4.4281 4.4281 4.4281 90.00 90.00 90.00
Element x y z (fractional)
1 Cr 0.0000 0.0000 0.5000
2 Cr 0.0000 0.5000 0.0000
3 Cr 0.5000 0.0000 0.0000
4 Ru 0.0000 0.0000 0.0000
5 Au 0.5000 0.5000 0.5000

=====

<b>
A plane-wave DFT calculation with PBE-GGA was carried out for crystalline Cr3RuAu at its relaxed geometry.

Calculated values
symmetry: Pm-3m, No. 221
density of states at the Fermi level: 14.0 states/eV per cell

Lattice parameters (Å, degrees): 4.5571 4.5571 4.5571 90.00 90.00 90.00
Element x y z (fractional)
1 Cr 0.0000 0.0000 0.5000
2 Cr 0.0000 0.5000 0.0000
3 Cr 0.5000 0.0000 0.0000
4 Ru 0.5000 0.5000 0.5000
5 Au 0.0000 0.0000 0.0000

=====

Which one sits at the bottom of the stability order? <b> does.

=====

<a>
A plane-wave DFT calculation with PBE-GGA was carried out for crystalline CrAu2S2 at its relaxed geometry.

Calculated values
symmetry: I4/mmm, No. 139
density of states at the Fermi level: 2.1 states/eV per cell

Lattice parameters (Å, degrees): 9.3040 9.3040 9.3040 159.74 159.74 28.80
Element x y z (fractional)
1 Cr 0.0000 0.0000 0.0000
2 Au 0.4134 0.4134 0.0000
3 Au 0.5866 0.5866 0.0000
4 S 0.2500 0.7500 0.5000
5 S 0.7500 0.2500 0.5000

=====

<b>
A plane-wave DFT calculation with PBE-GGA was carried out for crystalline CrAu2S2 at its relaxed geometry.

Calculated values
symmetry: P4/mbm, No. 127
density of states at the Fermi level: 4.3 states/eV per cell

Lattice parameters (Å, degrees): 7.1671 7.1671 3.5820 90.00 90.00 90.00
Element x y z (fractional)
1 Cr 0.0000 0.0000 0.0000
2 Cr 0.5000 0.5000 0.0000
3 Au 0.1348 0.3652 0.0000
4 Au 0.3652 0.8652 0.0000
5 Au 0.6348 0.1348 0.0000
6 Au 0.8652 0.6348 0.0000
7 S 0.1875 0.6875 0.5000
8 S 0.3125 0.1875 0.5000
9 S 0.6875 0.8125 0.5000
10 S 0.8125 0.3125 0.5000

=====

Which one sits at the bottom of the stability order? <a> does.